# 1
A plane-wave DFT calculation with PBE was carried out for crystalline AlRe3Pd at its relaxed geometry.

Computed properties:
- Density: 13321 kg/m³
- Energy relative to the elements: 1789.5 meV per atom
- DOS(E_F): 4.88 states/eV per cell
- Crystal system: cubic
- VASP energy: -37.33 eV for the cell shown
- Offset from the most stable computed form: 0.0 meV per atom

a b c (Å): 4.4185 4.4185 4.4185
angles (deg): 90.00 90.00 90.00
Element x y z (fractional)
Al: 0.0000 0.0000 0.0000
Re: 0.0000 0.0000 0.5000
Re: 0.0000 0.5000 0.0000
Re: 0.5000 0.0000 0.0000
Pd: 0.5000 0.5000 0.5000

***

# 2
A plane-wave DFT calculation with PBE was carried out for crystalline Al2RePd2 at its relaxed geometry.

Computed properties:
- Density: 10258 kg/m³
- Energy relative to the elements: -353.0 meV per atom
- DOS(E_F): 5.70 states/eV per cell
- Crystal system: tetragonal
- VASP energy: -64.17 eV for the cell shown

a b c (Å): 7.2814 7.2814 2.7663
angles (deg): 90.00 90.00 90.00
Element x y z (fractional)
Al: 0.1504 0.3496 0.0000
Al: 0.3496 0.8496 0.0000
Al: 0.6504 0.1504 0.0000
Al: 0.8496 0.6504 0.0000
Re: 0.0000 0.0000 0.0000
Re: 0.5000 0.5000 0.0000
Pd: 0.1483 0.6483 0.5000
Pd: 0.3517 0.1483 0.5000
Pd: 0.6483 0.8517 0.5000
Pd: 0.8517 0.3517 0.5000

***

# 3
A plane-wave DFT calculation with PBE was carried out for crystalline TiAlRePd at its relaxed geometry.

Computed properties:
- Density: 10285 kg/m³
- Energy relative to the elements: -501.9 meV per atom
- DOS(E_F): 0.87 states/eV per cell
- Crystal system: cubic
- VASP energy: -31.29 eV for the cell shown

a b c (Å): 4.3779 4.3779 4.3779
angles (deg): 60.00 60.00 60.00
Element x y z (fractional)
Ti: 0.0000 0.0000 0.0000
Al: 0.5000 0.5000 0.5000
Re: 0.7500 0.7500 0.7500
Pd: 0.2500 0.2500 0.2500

***

# 4
A plane-wave DFT calculation with PBE was carried out for crystalline AlVRePd at its relaxed geometry.

Computed properties:
- Density: 10747 kg/m³
- Energy relative to the elements: -308.1 meV per atom
- DOS(E_F): 3.44 states/eV per cell
- Crystal system: cubic
- VASP energy: -31.73 eV for the cell shown

a b c (Å): 4.3262 4.3262 4.3262
angles (deg): 60.00 60.00 60.00
Element x y z (fractional)
Al: 0.0000 0.0000 0.0000
V: 0.5000 0.5000 0.5000
Re: 0.7500 0.7500 0.7500
Pd: 0.2500 0.2500 0.2500

***

# 5
A plane-wave DFT calculation with PBE was carried out for crystalline AlPd4Rh at its relaxed geometry.

Computed properties:
- Density: 10021 kg/m³
- Energy relative to the elements: -264.1 meV per atom
- DOS(E_F): 10.51 states/eV per cell
- Crystal system: orthorhombic
- VASP energy: -66.90 eV for the cell shown

a b c (Å): 8.7301 7.9142 5.3139
angles (deg): 79.96 63.21 36.82
Element x y z (fractional)
Al: 0.1250 0.1250 0.1250
Al: 0.8750 0.8750 0.8750
Pd: 0.0272 0.5380 0.2161
Pd: 0.2161 0.7187 0.0272
Pd: 0.2813 0.7839 0.4620
Pd: 0.4620 0.9728 0.2813
Pd: 0.5380 0.0272 0.7187
Pd: 0.7187 0.2161 0.5380
Pd: 0.7839 0.2813 0.9728
Pd: 0.9728 0.4620 0.7839
Rh: 0.3750 0.3750 0.3750
Rh: 0.6250 0.6250 0.6250

***

# 6
A plane-wave DFT calculation with PBE was carried out for crystalline Al2Pd8Rh at its relaxed geometry.

Computed properties:
- Density: 10207 kg/m³
- Energy relative to the elements: -431.5 meV per atom
- DOS(E_F): 12.04 states/eV per cell
- Crystal system: monoclinic
- VASP energy: -61.13 eV for the cell shown

a b c (Å): 7.3058 7.3058 6.1367
angles (deg): 104.36 104.36 31.22
Element x y z (fractional)
Al: 0.1359 0.1359 0.1813
Al: 0.8641 0.8641 0.8187
Pd: 0.0436 0.0436 0.7377
Pd: 0.2279 0.2279 0.6353
Pd: 0.3187 0.3187 0.0870
Pd: 0.4087 0.4087 0.5528
Pd: 0.5913 0.5913 0.4472
Pd: 0.6813 0.6813 0.9130
Pd: 0.7721 0.7721 0.3647
Pd: 0.9564 0.9564 0.2623
Rh: 0.5000 0.5000 0.0000